TbDyTmN3: optimized geometry, PBE.

Geometry as CIF:
```
data_TbDyTmN3
_space_group_name_H-M_alt 'P 1 21/m 1'
_space_group_IT_number 11
_space_group_name_Hall '-P 2yb'
_cell_length_a 5.946
_cell_length_b 3.426
_cell_length_c 8.945
_cell_angle_alpha 90.00
_cell_angle_beta 101.31
_cell_angle_gamma 90.00
loop_
_atom_site_label
_atom_site_type_symbol
_atom_site_fract_x
_atom_site_fract_y
_atom_site_fract_z
Tb1 Tb 0.155 0.250 0.197
Dy1 Dy 0.269 0.750 0.546
Tm1 Tm 0.348 0.250 0.863
N1 N 0.037 0.250 0.673
N2 N 0.252 0.750 0.997
N3 N 0.463 0.750 0.342
```

Summary:
DFT total energy (eV per atom): -7.9503
ΔE_f (raw) (eV/atom): -1.50
V (A^3/atom): 14.89

K3MnP2: optimized geometry, PBE.

Geometry as CIF:
```
data_K3MnP2
_space_group_name_H-M_alt 'I b a m'
_space_group_IT_number 72
_space_group_name_Hall '-I 2 2c'
_cell_length_a 7.920
_cell_length_b 13.890
_cell_length_c 6.465
_cell_angle_alpha 90.00
_cell_angle_beta 90.00
_cell_angle_gamma 90.00
loop_
_atom_site_label
_atom_site_type_symbol
_atom_site_fract_x
_atom_site_fract_y
_atom_site_fract_z
K1 K 0.000 0.000 0.250
K2 K 0.191 0.314 0.000
Mn1 Mn 0.000 0.500 0.250
P1 P 0.172 0.417 0.500
```

Summary:
DOS(E_F) (states/eV per cell): 6.37
DFT total energy (eV per atom): -4.1759
Formation energy (meV/atom): -296
V (A^3/atom): 29.63

TaZnPb: optimized geometry, PBE.

Geometry as CIF:
```
data_TaZnPb
_space_group_name_H-M_alt 'F -4 3 m'
_space_group_IT_number 216
_space_group_name_Hall 'F -4 2 3'
_cell_length_a 6.442
_cell_length_b 6.442
_cell_length_c 6.442
_cell_angle_alpha 90.00
_cell_angle_beta 90.00
_cell_angle_gamma 90.00
loop_
_atom_site_label
_atom_site_type_symbol
_atom_site_fract_x
_atom_site_fract_y
_atom_site_fract_z
Ta1 Ta 0.000 0.000 0.000
Zn1 Zn 0.250 0.250 0.250
Pb1 Pb 0.000 0.000 0.500
```

Summary:
DOS(E_F) (states/eV per cell): 16.28
DFT total energy (eV per atom): -4.6404
Formation energy (meV/atom): 971
V (A^3/atom): 22.28

LaSm2ErSe5: optimized geometry, PBE.

Geometry as CIF:
```
data_LaSm2ErSe5
_space_group_name_H-M_alt 'P 4/m m m'
_space_group_IT_number 123
_space_group_name_Hall '-P 4 2'
_cell_length_a 5.114
_cell_length_b 5.114
_cell_length_c 11.025
_cell_angle_alpha 90.00
_cell_angle_beta 90.00
_cell_angle_gamma 90.00
loop_
_atom_site_label
_atom_site_type_symbol
_atom_site_fract_x
_atom_site_fract_y
_atom_site_fract_z
La1 La 0.000 0.000 0.000
Sm1 Sm 0.500 0.500 0.338
Er1 Er 0.000 0.000 0.500
Se1 Se 0.000 0.000 0.252
Se2 Se 0.000 0.500 0.500
Se3 Se 0.500 0.500 0.000
```

Summary:
DOS(E_F) (states/eV per cell): 6.93
DFT total energy (eV per atom): -5.3579
ΔE_f (raw) (eV/atom): -1.32
V (A^3/atom): 32.04

YAlBr: optimized geometry, PBE.

Geometry as CIF:
```
data_YAlBr
_space_group_name_H-M_alt 'I 4 m m'
_space_group_IT_number 107
_space_group_name_Hall 'I 4 -2'
_cell_length_a 3.475
_cell_length_b 3.475
_cell_length_c 15.351
_cell_angle_alpha 90.00
_cell_angle_beta 90.00
_cell_angle_gamma 90.00
loop_
_atom_site_label
_atom_site_type_symbol
_atom_site_fract_x
_atom_site_fract_y
_atom_site_fract_z
Y1 Y 0.000 0.000 0.000
Al1 Al 0.000 0.000 0.622
Br1 Br 0.000 0.000 0.382
```

Summary:
DOS(E_F) (states/eV per cell): 4.38
DFT total energy (eV per atom): -4.4878
ΔE_f (raw) (eV/atom): -0.53
V (A^3/atom): 30.89

La8Pm3Ho3: optimized geometry, PBE.

Geometry as CIF:
```
data_La8Pm3Ho3
_space_group_name_H-M_alt 'I m m m'
_space_group_IT_number 71
_space_group_name_Hall '-I 2 2'
_cell_length_a 5.727
_cell_length_b 11.100
_cell_length_c 15.374
_cell_angle_alpha 90.00
_cell_angle_beta 90.00
_cell_angle_gamma 90.00
loop_
_atom_site_label
_atom_site_type_symbol
_atom_site_fract_x
_atom_site_fract_y
_atom_site_fract_z
La1 La 0.000 0.156 0.232
La2 La 0.000 0.339 0.393
Pm1 Pm 0.000 0.000 0.000
Pm2 Pm 0.000 0.304 0.000
Ho1 Ho 0.000 0.000 0.500
Ho2 Ho 0.000 0.500 0.177
```

Summary:
DOS(E_F) (states/eV per cell): 34.61
DFT total energy (eV per atom): -4.7130
Formation energy (meV/atom): 102
V (A^3/atom): 34.90

ReTcW2: optimized geometry, PBE.

Geometry as CIF:
```
data_ReTcW2
_space_group_name_H-M_alt 'P 4/m m m'
_space_group_IT_number 123
_space_group_name_Hall '-P 4 2'
_cell_length_a 4.002
_cell_length_b 4.002
_cell_length_c 3.896
_cell_angle_alpha 90.00
_cell_angle_beta 90.00
_cell_angle_gamma 90.00
loop_
_atom_site_label
_atom_site_type_symbol
_atom_site_fract_x
_atom_site_fract_y
_atom_site_fract_z
Re1 Re 0.000 0.000 0.000
Tc1 Tc 0.500 0.500 0.000
W1 W 0.000 0.500 0.500
```

Summary:
DOS(E_F) (states/eV per cell): 3.78
DFT total energy (eV per atom): -11.9763
Formation energy (meV/atom): 204
E above lowest polymorph (eV/f.u.): 0.511
V (A^3/atom): 15.60

Al3Fe3Si2: optimized geometry, PBE.

Geometry as CIF:
```
data_Al3Fe3Si2
_space_group_name_H-M_alt 'P -1'
_space_group_IT_number 2
_space_group_name_Hall '-P 1'
_cell_length_a 4.805
_cell_length_b 6.330
_cell_length_c 6.904
_cell_angle_alpha 77.09
_cell_angle_beta 89.53
_cell_angle_gamma 77.11
loop_
_atom_site_label
_atom_site_type_symbol
_atom_site_fract_x
_atom_site_fract_y
_atom_site_fract_z
Al1 Al 0.031 0.212 0.407
Al2 Al 0.255 0.954 0.119
Al3 Al 0.262 0.388 0.750
Fe1 Fe 0.081 0.665 0.978
Fe2 Fe 0.247 0.566 0.368
Fe3 Fe 0.258 0.003 0.737
Si1 Si 0.432 0.343 0.140
Si2 Si 0.463 0.806 0.493
```

Summary:
DOS(E_F) (states/eV per cell): 8.57
DFT total energy (eV per atom): -6.2263
E above lowest polymorph (eV/f.u.): 0.470
ΔE_f (raw) (eV/atom): -0.29
V (A^3/atom): 12.46

SrNb2Bi2O9: optimized geometry, PBE.

Geometry as CIF:
```
data_SrNb2Bi2O9
_space_group_name_H-M_alt 'C m c 21'
_space_group_IT_number 36
_space_group_name_Hall 'C 2c -2'
_cell_length_a 25.365
_cell_length_b 5.647
_cell_length_c 5.687
_cell_angle_alpha 90.00
_cell_angle_beta 90.00
_cell_angle_gamma 90.00
loop_
_atom_site_label
_atom_site_type_symbol
_atom_site_fract_x
_atom_site_fract_y
_atom_site_fract_z
Sr1 Sr 0.000 0.248 0.000
Nb1 Nb 0.083 0.251 0.492
Bi1 Bi 0.200 0.214 0.084
O1 O 0.000 0.306 0.451
O2 O 0.066 0.024 0.733
O3 O 0.086 0.471 0.186
O4 O 0.155 0.171 0.456
O5 O 0.249 0.480 0.293
```

Summary:
DOS(E_F) (states/eV per cell): 0.00
DFT total energy (eV per atom): -7.5390
ΔE_f (raw) (eV/atom): -2.24
V (A^3/atom): 14.55

CdPRu3: optimized geometry, PBE.

Geometry as CIF:
```
data_CdPRu3
_space_group_name_H-M_alt 'P m -3 m'
_space_group_IT_number 221
_space_group_name_Hall '-P 4 2 3'
_cell_length_a 4.378
_cell_length_b 4.378
_cell_length_c 4.378
_cell_angle_alpha 90.00
_cell_angle_beta 90.00
_cell_angle_gamma 90.00
loop_
_atom_site_label
_atom_site_type_symbol
_atom_site_fract_x
_atom_site_fract_y
_atom_site_fract_z
Cd1 Cd 0.000 0.000 0.000
P1 P 0.500 0.500 0.500
Ru1 Ru 0.000 0.500 0.500
```

Summary:
DOS(E_F) (states/eV per cell): 6.62
DFT total energy (eV per atom): -6.5846
Formation energy (meV/atom): 246
E above lowest polymorph (eV/f.u.): 0.000
V (A^3/atom): 16.79

LaPmYHg: optimized geometry, PBE.

Geometry as CIF:
```
data_LaPmYHg
_space_group_name_H-M_alt 'P 4 m m'
_space_group_IT_number 99
_space_group_name_Hall 'P 4 -2'
_cell_length_a 3.728
_cell_length_b 3.728
_cell_length_c 8.880
_cell_angle_alpha 90.00
_cell_angle_beta 90.00
_cell_angle_gamma 90.00
loop_
_atom_site_label
_atom_site_type_symbol
_atom_site_fract_x
_atom_site_fract_y
_atom_site_fract_z
La1 La 0.000 0.000 0.000
Pm1 Pm 0.500 0.500 0.714
Y1 Y 0.500 0.500 0.284
Hg1 Hg 0.000 0.000 0.488
```

Summary:
DOS(E_F) (states/eV per cell): 5.92
DFT total energy (eV per atom): -4.3464
Formation energy (meV/atom): -235
E above lowest polymorph (eV/f.u.): 0.000
V (A^3/atom): 30.86

ScCd2GaRe: optimized geometry, PBE.

Geometry as CIF:
```
data_ScCd2GaRe
_space_group_name_H-M_alt 'P 4/m m m'
_space_group_IT_number 123
_space_group_name_Hall '-P 4 2'
_cell_length_a 5.524
_cell_length_b 5.524
_cell_length_c 4.705
_cell_angle_alpha 90.00
_cell_angle_beta 90.00
_cell_angle_gamma 90.00
loop_
_atom_site_label
_atom_site_type_symbol
_atom_site_fract_x
_atom_site_fract_y
_atom_site_fract_z
Sc1 Sc 0.000 0.000 0.000
Cd1 Cd 0.000 0.500 0.000
Ga1 Ga 0.500 0.500 0.500
Re1 Re 0.000 0.000 0.500
```

Summary:
DOS(E_F) (states/eV per cell): 3.59
DFT total energy (eV per atom): -3.4296
Formation energy (meV/atom): 1298
V (A^3/atom): 28.71